(A)
VASP calculation (PBE) on crystalline CsAcGe2 at its relaxed geometry.

As for the magnetic moment: 0.00 μB/cell. The crystal system is tetragonal.

The structure belongs to space group P4/mmm (No. 123); the cell edges are 4.329, 4.329 and 7.987 Å and the angles 90.00°, 90.00° and 90.00°. The asymmetric unit holds Cs at (0.000, 0.000, 0.000), Ac at (0.000, 0.000, 0.500) and Ge at (0.500, 0.500, 0.343).


(B)
VASP calculation (PBE) on crystalline CsAcGe2 at its relaxed geometry.

As for the magnetic moment: 0.00 μB/cell. The crystal system is trigonal.

The structure belongs to space group R-3m (No. 166, hexagonal axes); the cell edges are 5.2475, 5.2475 and 21.3834 Å and the angles 90.00°, 90.00° and 120.00°. The asymmetric unit holds Cs at (0.0000, 0.0000, 0.0000), Ac at (0.0000, 0.0000, 0.5000) and Ge at (0.0000, 0.0000, 0.2009).


Most stable structure: (A)


(A)
VASP calculation (PBE) on crystalline CsAcI2 at its relaxed geometry.

As for the magnetic moment: 0.00 μB/cell. The crystal system is trigonal.

The structure belongs to space group R-3m (No. 166, hexagonal axes); the cell edges are 4.3558, 4.3558 and 31.7035 Å and the angles 90.00°, 90.00° and 120.00°. The asymmetric unit holds Cs at (0.0000, 0.0000, 0.0000), Ac at (0.0000, 0.0000, 0.5000) and I at (0.0000, 0.0000, 0.2437).


(B)
VASP calculation (PBE) on crystalline CsAcI2 at its relaxed geometry.

As for the magnetic moment: 0.00 μB/cell. The crystal system is tetragonal.

The structure belongs to space group P4/mmm (No. 123); the cell edges are 4.194, 4.194 and 9.216 Å and the angles 90.00°, 90.00° and 90.00°. The asymmetric unit holds Cs at (0.000, 0.000, 0.000), Ac at (0.000, 0.000, 0.500) and I at (0.500, 0.500, 0.289).


Most stable structure: (A)


(A)
VASP calculation (PBE) on crystalline Cs2AcI5 at its relaxed geometry.

As for the magnetic moment: 0.00 μB/cell. The crystal system is tetragonal.

The structure belongs to space group I4mm (No. 107); the cell edges are 9.521, 9.521 and 11.088 Å and the angles 90.00°, 90.00° and 90.00°. The asymmetric unit holds Cs at (0.000, 0.500, 0.000), Ac at (0.000, 0.000, 0.241), I at (0.000, 0.000, 0.965) and I at (0.237, 0.237, 0.283).


(B)
VASP calculation (PBE) on crystalline Cs2AcI5 at its relaxed geometry.

As for the magnetic moment: 0.00 μB/cell. The crystal system is orthorhombic.

The structure belongs to space group Pnma (No. 62); the cell edges are 15.682, 10.548 and 9.841 Å and the angles 90.00°, 90.00° and 90.00°. The asymmetric unit holds Cs at (0.171, 0.007, 0.068), Ac at (0.005, 0.250, 0.572), I at (0.010, 0.250, 0.912), I at (0.069, 0.545, 0.668), I at (0.182, 0.250, 0.388) and I at (0.200, 0.750, 0.352).


Most stable structure: (B)


(A)
VASP calculation (PBE) on crystalline CsAcIn at its relaxed geometry.

As for the magnetic moment: 0.00 μB/cell. The crystal system is tetragonal.

The structure belongs to space group I4mm (No. 107); the cell edges are 4.280, 4.280 and 16.488 Å and the angles 90.00°, 90.00° and 90.00°. The asymmetric unit holds Cs at (0.000, 0.000, 0.000), Ac at (0.000, 0.000, 0.261) and In at (0.000, 0.000, 0.666).


(B)
VASP calculation (PBE) on crystalline CsAcIn at its relaxed geometry.

As for the magnetic moment: 0.92 μB/cell. The crystal system is trigonal.

The structure belongs to space group P-3m1 (No. 164); the cell edges are 4.6700, 4.6700 and 18.1906 Å and the angles 90.00°, 90.00° and 120.00°. The asymmetric unit holds Cs at (0.3333, 0.6667, 0.1296), Ac at (0.3333, 0.6667, 0.6520) and In at (0.3333, 0.6667, 0.4620).


Most stable structure: (A)


(A)
VASP calculation (PBE) on crystalline CsAcO2 at its relaxed geometry.

As for the magnetic moment: 0.00 μB/cell. The crystal system is trigonal.

The structure belongs to space group R3m (No. 160, hexagonal axes); the cell edges are 3.8999, 3.8999 and 21.3519 Å and the angles 90.00°, 90.00° and 120.00°. The asymmetric unit holds Cs at (0.0000, 0.0000, 0.0000), Ac at (0.0000, 0.0000, 0.8292), O at (0.0000, 0.0000, 0.2181) and O at (0.0000, 0.0000, 0.4359).


(B)
VASP calculation (PBE) on crystalline CsAcO2 at its relaxed geometry.

As for the magnetic moment: 0.00 μB/cell. The crystal system is trigonal.

The structure belongs to space group R-3m (No. 166, hexagonal axes); the cell edges are 3.9184, 3.9184 and 21.0231 Å and the angles 90.00°, 90.00° and 120.00°. The asymmetric unit holds Cs at (0.0000, 0.0000, 0.0000), Ac at (0.0000, 0.0000, 0.5000) and O at (0.0000, 0.0000, 0.2247).


(C)
VASP calculation (PBE) on crystalline CsAcO2 at its relaxed geometry.

As for the magnetic moment: 0.00 μB/cell. The crystal system is tetragonal.

The structure belongs to space group P4/mmm (No. 123); the cell edges are 3.356, 3.356 and 7.211 Å and the angles 90.00°, 90.00° and 90.00°. The asymmetric unit holds Cs at (0.000, 0.000, 0.000), Ac at (0.000, 0.000, 0.500) and O at (0.500, 0.500, 0.313).


Most stable structure: (B)